Record 1
First-principles (PBE-GGA) data for a relaxed structure of DyYHoSc, as listed in the Alexandria database.

a = 7.832 Å, b = 7.832 Å, c = 7.832 Å
α = 90.00°, β = 90.00°, γ = 90.00°
Space group F-43m (No. 216)
Symmetry-distinct sites (fractional):
Dy  0.000  0.000  0.000 [4 per cell]
Y  0.000  0.000  0.500 [4 per cell]
Ho  0.250  0.250  0.750 [4 per cell]
Sc  0.250  0.250  0.250 [4 per cell]

Computed properties:
- M_tot (μB/atom) = 0.00
- calculated total energy (eV/cell) = -85.8
- energy of formation from the pure elements (eV per atom) = 0.132
- energy relative to the lowest polymorph listed for this composition (eV per formula unit) = 0.35

Record 2
First-principles (PBE-GGA) data for a relaxed structure of Dy2YHo5Sc, as listed in the Alexandria database.

a = 5.517 Å, b = 19.850 Å, c = 10.280 Å
α = 90.00°, β = 90.00°, γ = 90.00°
Space group Cmc2_1 (No. 36)
Symmetry-distinct sites (fractional):
Dy  0.000  0.111  0.000 [4 per cell]
Dy  0.000  0.114  0.577 [4 per cell]
Y  0.000  0.409  0.857 [4 per cell]
Ho  0.000  0.017  0.295 [4 per cell]
Ho  0.000  0.275  0.992 [4 per cell]
Ho  0.000  0.300  0.607 [4 per cell]
Ho  0.000  0.377  0.291 [4 per cell]
Ho  0.000  0.481  0.572 [4 per cell]
Sc  0.000  0.196  0.298 [4 per cell]

Computed properties:
- M_tot (μB/atom) = 0.00
- calculated total energy (eV/cell) = -173.4
- energy of formation from the pure elements (eV per atom) = 0.171

Record 3
First-principles (PBE-GGA) data for a relaxed structure of DyY2Ho2Sc, as listed in the Alexandria database.

a = 6.474 Å, b = 17.348 Å, c = 3.322 Å
α = 90.00°, β = 90.00°, γ = 90.00°
Space group Pnnm (No. 58)
Symmetry-distinct sites (fractional):
Dy  0.000  0.000  0.000 [2 per cell]
Y  0.246  0.318  0.000 [4 per cell]
Ho  0.245  0.145  0.500 [4 per cell]
Sc  0.000  0.500  0.000 [2 per cell]

Computed properties:
- M_tot (μB/atom) = 0.00
- calculated total energy (eV/cell) = -62.8
- energy of formation from the pure elements (eV per atom) = 0.272

Record 4
First-principles (PBE-GGA) data for a relaxed structure of Dy2Y2HoSc, as listed in the Alexandria database.

a = 6.481 Å, b = 17.341 Å, c = 3.322 Å
α = 90.00°, β = 90.00°, γ = 90.00°
Space group Pnnm (No. 58)
Symmetry-distinct sites (fractional):
Dy  0.245  0.145  0.000 [4 per cell]
Y  0.246  0.319  0.500 [4 per cell]
Ho  0.000  0.000  0.500 [2 per cell]
Sc  0.000  0.500  0.500 [2 per cell]

Computed properties:
- M_tot (μB/atom) = 0.00
- calculated total energy (eV/cell) = -62.8
- energy of formation from the pure elements (eV per atom) = 0.270

Record 5
First-principles (PBE-GGA) data for a relaxed structure of Dy2YHoSc4, as listed in the Alexandria database.

a = 4.887 Å, b = 4.887 Å, c = 9.326 Å
α = 90.00°, β = 90.00°, γ = 90.00°
Space group P4/mmm (No. 123)
Symmetry-distinct sites (fractional):
Dy  0.000  0.000  0.000 [1 per cell]
Dy  0.500  0.500  0.500 [1 per cell]
Y  0.000  0.000  0.500 [1 per cell]
Ho  0.500  0.500  0.000 [1 per cell]
Sc  0.000  0.500  0.249 [4 per cell]

Computed properties:
- M_tot (μB/atom) = 0.00
- calculated total energy (eV/cell) = -45.1
- energy of formation from the pure elements (eV per atom) = 0.054

Record 6
First-principles (PBE-GGA) data for a relaxed structure of Dy2Y6Ho3Sc, as listed in the Alexandria database.

a = 6.116 Å, b = 10.582 Å, c = 11.704 Å
α = 90.00°, β = 99.99°, γ = 90.00°
Space group C2/m (No. 12)
Symmetry-distinct sites (fractional):
Dy  0.000  0.167  0.000 [4 per cell]
Y  0.248  0.334  0.248 [8 per cell]
Y  0.249  0.500  0.752 [4 per cell]
Ho  0.000  0.000  0.500 [2 per cell]
Ho  0.000  0.334  0.500 [4 per cell]
Sc  0.000  0.500  0.000 [2 per cell]

Computed properties:
- M_tot (μB/atom) = 0.00
- calculated total energy (eV/cell) = -135.3
- energy of formation from the pure elements (eV per atom) = 0.033

Record 7
First-principles (PBE-GGA) data for a relaxed structure of DyYHo3Sc, as listed in the Alexandria database.

a = 7.800 Å, b = 4.953 Å, c = 9.874 Å
α = 90.00°, β = 108.57°, γ = 90.00°
Space group P2_1/m (No. 11)
Symmetry-distinct sites (fractional):
Dy  0.001  0.250  0.128 [2 per cell]
Y  0.327  0.750  0.704 [2 per cell]
Ho  0.326  0.250  0.458 [2 per cell]
Ho  0.330  0.750  0.210 [2 per cell]
Ho  0.331  0.250  0.956 [2 per cell]
Sc  0.000  0.250  0.622 [2 per cell]

Computed properties:
- M_tot (μB/atom) = 0.00
- calculated total energy (eV/cell) = -61.8
- energy of formation from the pure elements (eV per atom) = 0.038

Record 8
First-principles (PBE-GGA) data for a relaxed structure of Dy2Y6HoSc, as listed in the Alexandria database.

a = 9.052 Å, b = 14.806 Å, c = 9.507 Å
α = 90.00°, β = 98.38°, γ = 90.00°
Space group C2/c (No. 15)
Symmetry-distinct sites (fractional):
Dy  0.250  0.050  0.048 [8 per cell]
Y  0.062  0.186  0.444 [8 per cell]
Y  0.100  0.395  0.616 [8 per cell]
Y  0.214  0.219  0.811 [8 per cell]
Ho  0.000  0.022  0.750 [4 per cell]
Sc  0.000  0.412  0.250 [4 per cell]

Computed properties:
- M_tot (μB/atom) = 0.00
- calculated total energy (eV/cell) = -230.6
- energy of formation from the pure elements (eV per atom) = 0.125

Record 9
First-principles (PBE-GGA) data for a relaxed structure of Dy3Y6HoSc2, as listed in the Alexandria database.

a = 6.091 Å, b = 10.540 Å, c = 11.617 Å
α = 90.00°, β = 100.04°, γ = 90.00°
Space group C2/m (No. 12)
Symmetry-distinct sites (fractional):
Dy  0.000  0.000  0.000 [2 per cell]
Dy  0.000  0.333  0.000 [4 per cell]
Y  0.246  0.000  0.744 [4 per cell]
Y  0.250  0.168  0.256 [8 per cell]
Ho  0.000  0.500  0.500 [2 per cell]
Sc  0.000  0.167  0.500 [4 per cell]

Computed properties:
- M_tot (μB/atom) = 0.00
- calculated total energy (eV/cell) = -138.6
- energy of formation from the pure elements (eV per atom) = 0.043

Record 10
First-principles (PBE-GGA) data for a relaxed structure of Dy6Y3HoSc2, as listed in the Alexandria database.

a = 6.077 Å, b = 10.514 Å, c = 11.576 Å
α = 90.00°, β = 100.04°, γ = 90.00°
Space group C2/m (No. 12)
Symmetry-distinct sites (fractional):
Dy  0.246  0.000  0.243 [4 per cell]
Dy  0.249  0.332  0.243 [8 per cell]
Y  0.000  0.000  0.500 [2 per cell]
Y  0.000  0.333  0.500 [4 per cell]
Ho  0.000  0.500  0.000 [2 per cell]
Sc  0.000  0.167  0.000 [4 per cell]

Computed properties:
- M_tot (μB/atom) = 0.00
- calculated total energy (eV/cell) = -127.6
- energy of formation from the pure elements (eV per atom) = 0.039

Record 11
First-principles (PBE-GGA) data for a relaxed structure of DyYHo2Sc2, as listed in the Alexandria database.

a = 6.847 Å, b = 9.379 Å, c = 5.437 Å
α = 90.00°, β = 90.00°, γ = 90.00°
Space group Pnnm (No. 58)
Symmetry-distinct sites (fractional):
Dy  0.000  0.000  0.000 [2 per cell]
Y  0.000  0.500  0.500 [2 per cell]
Ho  0.250  0.167  0.500 [4 per cell]
Sc  0.250  0.333  0.000 [4 per cell]

Computed properties:
- M_tot (μB/atom) = 0.00
- calculated total energy (eV/cell) = -64.9
- energy of formation from the pure elements (eV per atom) = 0.073

Record 12
First-principles (PBE-GGA) data for a relaxed structure of Dy2YHo6Sc3, as listed in the Alexandria database.

a = 6.025 Å, b = 10.426 Å, c = 11.436 Å
α = 90.00°, β = 100.09°, γ = 90.00°
Space group C2/m (No. 12)
Symmetry-distinct sites (fractional):
Dy  0.000  0.167  0.000 [4 per cell]
Y  0.000  0.500  0.000 [2 per cell]
Ho  0.246  0.167  0.741 [8 per cell]
Ho  0.247  0.500  0.741 [4 per cell]
Sc  0.000  0.000  0.500 [2 per cell]
Sc  0.000  0.333  0.500 [4 per cell]

Computed properties:
- M_tot (μB/atom) = 0.00
- calculated total energy (eV/cell) = -123.2
- energy of formation from the pure elements (eV per atom) = 0.045

Number 1: theoretical density 6.38 Mg/m³. Number 2: theoretical density 7.57 Mg/m³. Number 3: theoretical density 6.37 Mg/m³. Number 4: theoretical density 6.34 Mg/m³. Number 5: theoretical density 5.66 Mg/m³. Number 6: theoretical density 6.22 Mg/m³. Number 7: theoretical density 7.27 Mg/m³. Number 8: theoretical density 5.63 Mg/m³. Number 9: theoretical density 5.77 Mg/m³. Number 10: theoretical density 6.82 Mg/m³. Number 11: theoretical density 6.38 Mg/m³. Number 12: theoretical density 7.22 Mg/m³.